# 1
The following is a DFT calculation (PBE-GGA) of crystalline V2SnIr2 at its relaxed geometry.

Calculated values
As for the crystal system: tetragonal. For the density of states at the Fermi level, the calculation gives 3.18 states/eV/f.u.

CIF file:
```
data_V2SnIr2
_cell_length_a 7.488
_cell_length_b 7.488
_cell_length_c 2.831
_cell_angle_alpha 90.00
_cell_angle_beta 90.00
_cell_angle_gamma 90.00
_symmetry_space_group_name_H-M 'P 4/m b m'
_symmetry_Int_Tables_number 127
_symmetry_space_group_name_Hall '-P 4 2ab'
loop_
_atom_site_label
_atom_site_fract_x
_atom_site_fract_y
_atom_site_fract_z
V1 0.159 0.341 0.000
Sn1 0.000 0.000 0.500
Ir1 0.132 0.632 0.500
```

=====

# 2
The following is a DFT calculation (PBE-GGA) of crystalline V2SnIr2 at its relaxed geometry.

Calculated values
As for the crystal system: tetragonal. For the density of states at the Fermi level, the calculation gives 3.54 states/eV/f.u.

CIF file:
```
data_V2SnIr2
_cell_length_a 4.086
_cell_length_b 4.086
_cell_length_c 10.589
_cell_angle_alpha 90.00
_cell_angle_beta 90.00
_cell_angle_gamma 90.00
_symmetry_space_group_name_H-M 'I 4/m m m'
_symmetry_Int_Tables_number 139
_symmetry_space_group_name_Hall '-I 4 2'
loop_
_atom_site_label
_atom_site_fract_x
_atom_site_fract_y
_atom_site_fract_z
V1 0.000 0.500 0.250
Sn1 0.000 0.000 0.000
Ir1 0.000 0.000 0.378
```

=====

# 3
The following is a DFT calculation (PBE-GGA) of crystalline SnIrW3 at its relaxed geometry.

Calculated values
As for the crystal system: cubic. For the density of states at the Fermi level, the calculation gives 6.52 states/eV/f.u.

CIF file:
```
data_SnIrW3
_cell_length_a 4.789
_cell_length_b 4.789
_cell_length_c 4.789
_cell_angle_alpha 90.00
_cell_angle_beta 90.00
_cell_angle_gamma 90.00
_symmetry_space_group_name_H-M 'P m -3 m'
_symmetry_Int_Tables_number 221
_symmetry_space_group_name_Hall '-P 4 2 3'
loop_
_atom_site_label
_atom_site_fract_x
_atom_site_fract_y
_atom_site_fract_z
Sn1 0.000 0.000 0.000
Ir1 0.500 0.500 0.500
W1 0.000 0.500 0.500
```

=====

# 4
The following is a DFT calculation (PBE-GGA) of crystalline Sn3IrW at its relaxed geometry.

Calculated values
As for the crystal system: cubic. For the density of states at the Fermi level, the calculation gives 3.71 states/eV/f.u.

CIF file:
```
data_Sn3IrW
_cell_length_a 5.099
_cell_length_b 5.099
_cell_length_c 5.099
_cell_angle_alpha 90.00
_cell_angle_beta 90.00
_cell_angle_gamma 90.00
_symmetry_space_group_name_H-M 'P m -3 m'
_symmetry_Int_Tables_number 221
_symmetry_space_group_name_Hall '-P 4 2 3'
loop_
_atom_site_label
_atom_site_fract_x
_atom_site_fract_y
_atom_site_fract_z
Sn1 0.000 0.000 0.500
Ir1 0.000 0.000 0.000
W1 0.500 0.500 0.500
```

=====

| no. | polymorph energy (0 for the lowest one) (eV per atom) | formation energy (kJ/mol of atoms) |
| --- | --- | --- |
| 1 | 0.000 | -28 |
| 2 | 0.142 | -15 |
| 3 | 0.000 | 172 |
| 4 | 0.000 | 111 |